No. 1
A plane-wave DFT calculation with PBE was carried out for Hf3CoNi after structural relaxation.

Output
- Polymorph energy (0 for the lowest one): 163 meV/atom
- DOS at the Fermi energy: 1.0965 states/eV/atom

Cell lengths 6.8453, 6.8453, 6.8453 Å; angles 52.21, 52.21, 52.21 degrees
Sites, in units of the cell vectors:
Hf  0.1397  0.7449  0.3556
Hf  0.2551  0.6444  0.8603
Hf  0.3556  0.1397  0.7449
Hf  0.6444  0.8603  0.2551
Hf  0.7449  0.3556  0.1397
Hf  0.8603  0.2551  0.6444
Co  0.3148  0.3148  0.3148
Co  0.6852  0.6852  0.6852
Ni  0.1817  0.1817  0.1817
Ni  0.8183  0.8183  0.8183


No. 2
A plane-wave DFT calculation with PBE was carried out for CoNi5Se12 after structural relaxation.

Output
- Formation energy from raw total energies: -266.9 meV/atom
- DOS at the Fermi energy: 0.3546 states/eV/atom

Cell lengths 6.2027, 6.2027, 10.6618 Å; angles 96.17, 96.17, 120.18 degrees
Sites, in units of the cell vectors:
Co  0.0000  0.0000  0.0000
Ni  0.1666  0.8334  0.5000
Ni  0.3332  0.6668  0.0000
Ni  0.5000  0.5000  0.5000
Ni  0.6668  0.3332  0.0000
Ni  0.8334  0.1666  0.5000
Se  0.0442  0.7135  0.1154
Se  0.1234  0.4566  0.3823
Se  0.2094  0.2094  0.6175
Se  0.2865  0.9558  0.8846
Se  0.3742  0.3742  0.1150
Se  0.4566  0.1234  0.3823
Se  0.5434  0.8766  0.6177
Se  0.6258  0.6258  0.8850
Se  0.7135  0.0442  0.1154
Se  0.7906  0.7906  0.3825
Se  0.8766  0.5434  0.6177
Se  0.9558  0.2865  0.8846


No. 3
A plane-wave DFT calculation with PBE was carried out for CrNi2Cl after structural relaxation.

Output
- Polymorph energy (0 for the lowest one): 112 meV/atom
- Formation energy from raw total energies: 302.7 meV/atom
- DOS at the Fermi energy: 1.0750 states/eV/atom

Cell lengths 3.0308, 3.0308, 5.9488 Å; angles 90.00, 90.00, 90.00 degrees
Sites, in units of the cell vectors:
Cr  0.0000  0.0000  0.0000
Ni  0.5000  0.5000  0.2126
Ni  0.5000  0.5000  0.7874
Cl  0.0000  0.0000  0.5000


No. 4
A plane-wave DFT calculation with PBE was carried out for Y4Te3Se after structural relaxation.

Output
- Formation energy from raw total energies: -1426.6 meV/atom
- DOS at the Fermi energy: 0.4996 states/eV/atom

Cell lengths 7.4768, 7.4768, 4.2782 Å; angles 90.00, 90.00, 109.32 degrees
Sites, in units of the cell vectors:
Y  0.2220  0.2220  0.5000
Y  0.2327  0.7673  0.0000
Y  0.7673  0.2327  0.0000
Y  0.7780  0.7780  0.5000
Te  0.0000  0.5000  0.5000
Te  0.5000  0.0000  0.5000
Te  0.5000  0.5000  0.0000
Se  0.0000  0.0000  0.0000


No. 5
A plane-wave DFT calculation with PBE was carried out for Ba2CeAu after structural relaxation.

Output
- DOS at the Fermi energy: 2.7590 states/eV/atom
- Energy: -12.6 eV for the cell shown

Cell lengths 12.2566, 12.2566, 12.2566 Å; angles 19.17, 19.17, 19.17 degrees
Sites, in units of the cell vectors:
Ba  0.1048  0.1048  0.1048
Ba  0.8952  0.8952  0.8952
Ce  0.0000  0.0000  0.0000
Au  0.5000  0.5000  0.5000


No. 6
A plane-wave DFT calculation with PBE was carried out for SrLaTb2 after structural relaxation.

Output
- Polymorph energy (0 for the lowest one): 104 meV/atom
- DOS at the Fermi energy: 1.7411 states/eV/atom

Cell lengths 13.1162, 13.1162, 13.1162 Å; angles 16.03, 16.03, 16.03 degrees
Sites, in units of the cell vectors:
Sr  0.0000  0.0000  0.0000
La  0.5000  0.5000  0.5000
Tb  0.0916  0.0916  0.0916
Tb  0.9084  0.9084  0.9084


No. 7
A plane-wave DFT calculation with PBE was carried out for CeSm2TmBi4 after structural relaxation.

Output
- DOS at the Fermi energy: 0.8913 states/eV/atom
- Energy: -42.2 eV for the cell shown

Cell lengths 7.8497, 4.5416, 7.8662 Å; angles 90.00, 109.45, 90.00 degrees
Sites, in units of the cell vectors:
Ce  0.0000  0.0000  0.0000
Sm  0.0000  0.5000  0.5000
Sm  0.5000  0.0000  0.5000
Tm  0.5000  0.5000  0.0000
Bi  0.2533  0.5000  0.2476
Bi  0.2559  0.0000  0.7558
Bi  0.7441  0.0000  0.2442
Bi  0.7467  0.5000  0.7524


No. 8
A plane-wave DFT calculation with PBE was carried out for DySn2Ru after structural relaxation.

Output
- DOS at the Fermi energy: 0.6130 states/eV/atom
- Energy: -23.4 eV for the cell shown

Cell lengths 5.7123, 5.7123, 5.7123 Å; angles 46.36, 46.36, 46.36 degrees
Sites, in units of the cell vectors:
Dy  0.0000  0.0000  0.0000
Sn  0.2258  0.2258  0.2258
Sn  0.7742  0.7742  0.7742
Ru  0.5000  0.5000  0.5000


Copy entry 5 word for word.
A plane-wave DFT calculation with PBE was carried out for Ba2CeAu after structural relaxation.

Output
- DOS at the Fermi energy: 2.7590 states/eV/atom
- Energy: -12.6 eV for the cell shown

Cell lengths 12.2566, 12.2566, 12.2566 Å; angles 19.17, 19.17, 19.17 degrees
Sites, in units of the cell vectors:
Ba  0.1048  0.1048  0.1048
Ba  0.8952  0.8952  0.8952
Ce  0.0000  0.0000  0.0000
Au  0.5000  0.5000  0.5000